(1)
# PrY2Ni9

A relaxed PrY2Ni9 crystal (PBE-GGA, Alexandria via LeMat-Bulk).

Output
Total energy: -74.1 eV/cell
N(E_F): 1.31 states/eV/atom
DFT formation energy: -8.4 kcal/mol of atoms
Magnetization: 0.56 μB/f.u.

abc: 8.636 8.636 8.636
angles: 33.80 33.80 33.80
Element x y z (fractional)
Pr (0.000, 0.000, 0.000)
Y (0.140, 0.140, 0.140)
Y (0.860, 0.860, 0.860)
Ni (0.082, 0.583, 0.583)
Ni (0.333, 0.333, 0.333)
Ni (0.417, 0.417, 0.918)
Ni (0.417, 0.918, 0.417)
Ni (0.500, 0.500, 0.500)
Ni (0.583, 0.082, 0.583)
Ni (0.583, 0.583, 0.082)
Ni (0.667, 0.667, 0.667)
Ni (0.918, 0.417, 0.417)



(2)
# PrYNi

A relaxed PrYNi crystal (PBE-GGA, Alexandria via LeMat-Bulk).

Output
Distance to the lowest polymorph of the same formula: 12.4 kJ per mole of atoms
Total energy: -17.3 eV/cell
N(E_F): 1.12 states/eV/atom
DFT formation energy: -2.4 kcal/mol of atoms
Magnetization: 0.00 μB/f.u.

abc: 3.929 3.929 6.410
angles: 90.00 90.00 120.00
Element x y z (fractional)
Pr (0.000, 0.000, 0.000)
Y (0.333, 0.667, 0.495)
Ni (0.667, 0.333, 0.258)



(3)
# PrYNi

A relaxed PrYNi crystal (PBE-GGA, Alexandria via LeMat-Bulk).

Output
Distance to the lowest polymorph of the same formula: 0.0 kJ per mole of atoms
Total energy: -35.5 eV/cell
N(E_F): 1.11 states/eV/atom
DFT formation energy: -5.4 kcal/mol of atoms
Magnetization: 0.00 μB/f.u.

abc: 6.536 6.536 8.205
angles: 124.51 124.51 33.30
Element x y z (fractional)
Pr (0.000, 0.000, 0.000)
Pr (0.576, 0.576, 0.684)
Y (0.337, 0.337, 0.153)
Y (0.750, 0.750, 0.458)
Ni (0.042, 0.042, 0.388)
Ni (0.288, 0.288, 0.749)



(4)
# PrY2Ni

A relaxed PrY2Ni crystal (PBE-GGA, Alexandria via LeMat-Bulk).

Output
Distance to the lowest polymorph of the same formula: 2.6 kJ per mole of atoms
Total energy: -48.4 eV/cell
N(E_F): 1.52 states/eV/atom
DFT formation energy: -4.2 kcal/mol of atoms
Magnetization: 0.00 μB/f.u.

abc: 6.426 6.426 9.708
angles: 90.00 90.00 146.69
Element x y z (fractional)
Pr (0.082, 0.918, 0.750)
Pr (0.918, 0.082, 0.250)
Y (0.362, 0.638, 0.571)
Y (0.362, 0.638, 0.929)
Y (0.638, 0.362, 0.071)
Y (0.638, 0.362, 0.429)
Ni (0.236, 0.764, 0.250)
Ni (0.764, 0.236, 0.750)